Below is a PBEsol-optimized structure of La3Cu2, with properties calculated at the SCAN level.

Geometry as extended XYZ:
```
5
Lattice="3.788 0.000 0.000 1.894 3.280 0.000 1.894 1.093 10.811" Properties=species:S:1:pos:R:3 pbc="T T T"
La 1.894 1.093 3.959
La 0.000 0.000 0.000
La 5.681 3.280 6.852
Cu 3.788 2.187 1.975
Cu 3.788 2.187 8.836
```

Values from the calculation:
Formation energy from the elements = 0.0659 eV per atom
Calculated volume = 26.9 A^3/atom
Space group = No. 166
Crystal system = trigonal
Size of the total moment = 0.000 μB/f.u.